BeCdW | PBE | relaxed

abc: 3.3891 4.3000 12.5660
angles: 90.00 90.00 90.00
Space group Fmm2 (No. 42)
Symmetry-distinct sites (fractional):
Be  0.0000  0.0000  0.0000
Cd  0.0000  0.0000  0.6658
W  0.0000  0.0000  0.3604

Summary:
**Total DFT energy (no corrections)**: -5.42 eV/atom
**M_tot**: 0.00 Bohr magnetons per cell
**Energy relative to the lowest polymorph listed for this composition**: 0.0 kJ per mole of atoms
**Calculated formation energy**: 0.448 eV/atom